Entry 1:
SrAlRu2 | PBE-GGA | optimized geometry

Formation enthalpy at 0 K in kJ per mole of atoms: 16
Symmetry: Cm, No. 8

Cell lengths 4.444, 4.444, 6.570 Å; angles 81.20, 81.20, 41.59 degrees
Element x y z (fractional)
1 Ru 0.000 0.000 0.976
2 Ru 0.739 0.739 0.858
3 Al 0.266 0.266 0.158
4 Sr 0.495 0.495 0.508

***

Entry 2:
SrAlRu3 | PBE-GGA | optimized geometry

Formation enthalpy at 0 K in kJ per mole of atoms: 238
Symmetry: Pm-3m, No. 221
Energy above the lowest structure with this stoichiometry in meV per atom: 1745

Cell lengths 4.899, 4.899, 4.899 Å; angles 90.00, 90.00, 90.00 degrees
Element x y z (fractional)
1 Ru 0.000 0.500 0.000
2 Ru 0.000 0.000 0.500
3 Ru 0.500 0.000 0.000
4 Al 0.500 0.500 0.500
5 Sr 0.000 0.000 0.000

***

Entry 3:
SrAlRu2 | PBE-GGA | optimized geometry

Formation enthalpy at 0 K in kJ per mole of atoms: 51
Symmetry: C2/m, No. 12

Cell lengths 5.508, 5.405, 2.889 Å; angles 76.36, 86.46, 119.54 degrees
Element x y z (fractional)
1 Ru 0.000 0.000 0.000
2 Ru 0.500 0.000 0.500
3 Al 0.500 0.500 0.000
4 Sr 0.000 0.500 0.500

***

Entry 4:
SrAlRu2 | PBE-GGA | optimized geometry

Formation enthalpy at 0 K in kJ per mole of atoms: 53
Symmetry: R3m, No. 160

Cell lengths 9.754, 9.754, 9.754 Å; angles 17.52, 17.52, 17.52 degrees
Element x y z (fractional)
1 Ru 0.999 0.999 0.999
2 Ru 0.263 0.263 0.263
3 Al 0.735 0.735 0.735
4 Sr 0.503 0.503 0.503

***

Entry 5:
Sr2AlRu | PBE-GGA | optimized geometry

Formation enthalpy at 0 K in kJ per mole of atoms: 35
Symmetry: F-43m, No. 216

Cell lengths 5.136, 5.136, 5.136 Å; angles 60.00, 60.00, 60.00 degrees
Element x y z (fractional)
1 Ru 0.750 0.750 0.750
2 Al 0.500 0.500 0.500
3 Sr 0.000 0.000 0.000
4 Sr 0.250 0.250 0.250

***

Entry 6:
SrAlTc2Ru | PBE-GGA | optimized geometry

Formation enthalpy at 0 K in kJ per mole of atoms: 97
Symmetry: P4/mmm, No. 123

Cell lengths 4.702, 4.636, 4.702 Å; angles 90.00, 90.00, 90.00 degrees
Element x y z (fractional)
1 Ru 0.000 0.500 0.000
2 Al 0.000 0.000 0.000
3 Tc 0.000 0.000 0.500
4 Tc 0.500 0.000 0.000
5 Sr 0.500 0.500 0.500

***

Entry 7:
SrY2AlRu | PBE-GGA | optimized geometry

Formation enthalpy at 0 K in kJ per mole of atoms: 15
Symmetry: P4/mmm, No. 123
Energy above the lowest structure with this stoichiometry in meV per atom: 335

Cell lengths 5.288, 5.710, 5.288 Å; angles 90.00, 90.00, 90.00 degrees
Element x y z (fractional)
1 Y 0.000 0.000 0.500
2 Y 0.500 0.000 0.000
3 Ru 0.000 0.000 0.000
4 Al 0.500 0.500 0.500
5 Sr 0.000 0.500 0.000

***

Entry 8:
SrY2AlRu | PBE-GGA | optimized geometry

Formation enthalpy at 0 K in kJ per mole of atoms: -17
Symmetry: P4/mmm, No. 123
Energy above the lowest structure with this stoichiometry in meV per atom: 0

Cell lengths 5.358, 5.358, 5.049 Å; angles 90.00, 90.00, 90.00 degrees
Element x y z (fractional)
1 Y 0.000 0.500 0.000
2 Y 0.500 0.000 0.000
3 Ru 0.000 0.000 0.000
4 Al 0.000 0.000 0.500
5 Sr 0.500 0.500 0.500